Here is a relaxed Pu2ScSb3 crystal from Alexandria. Energies are from GGA-PBE. Values from VASP.

Quantum ESPRESSO input file:
```
&SYSTEM
  ibrav = 0, nat = 6, ntyp = 3
/
ATOMIC_SPECIES
Sb 121.76 Sb.upf
Pu 244.00 Pu.upf
Sc 44.96 Sc.upf
CELL_PARAMETERS angstrom
-4.110 1.372 0.137
-0.309 -0.313 -6.142
0.171 -6.679 3.418
ATOMIC_POSITIONS angstrom
Sb 0.000 0.000 0.000
Sb -1.394 -4.206 0.284
Sb -2.854 -1.413 -2.871
Pu -2.746 -1.398 0.209
Pu -1.502 -4.221 -2.796
Sc -0.154 -0.156 -3.071
```

Summary:
calculated volume = 173.3 Å³/f.u.
DOS(E_F) = 24.747 states/eV per cell
electronic total energy = -8.584 eV/atom
SG = Immm
E_form (uncorrected) = -690 meV/atom

Here is a relaxed AcPm3Sm crystal from Alexandria. Energies are from GGA-PBE. Values from VASP.

Quantum ESPRESSO input file:
```
&SYSTEM
  ibrav = 0, nat = 10, ntyp = 3
/
ATOMIC_SPECIES
Pm 145.00 Pm.upf
Ac 227.00 Ac.upf
Sm 150.36 Sm.upf
CELL_PARAMETERS angstrom
-3.583 -4.157 2.394
2.314 -4.835 -4.931
7.993 -0.275 4.020
ATOMIC_POSITIONS angstrom
Pm 3.201 -5.958 1.946
Pm 6.442 -5.414 0.263
Pm 3.523 -3.308 -0.463
Pm 4.350 -8.359 -0.502
Pm 0.282 -3.852 1.220
Pm 2.374 -0.908 1.985
Ac 1.304 -6.220 -1.357
Ac 5.420 -3.046 2.840
Sm 6.087 -8.036 2.668
Sm 0.637 -1.230 -1.185
```

Summary:
calculated volume = 184.0 Å³/f.u.
DOS(E_F) = 17.098 states/eV per cell
electronic total energy = -4.494 eV/atom
SG = P2_1/m
energy above the most stable polymorph in this dataset = 0 meV/atom

Here is a relaxed CrCoGePdS crystal from Alexandria. Energies are from GGA-PBE. Values from VASP.

Quantum ESPRESSO input file:
```
&SYSTEM
  ibrav = 0, nat = 10, ntyp = 5
/
ATOMIC_SPECIES
S 32.06 S.upf
Ge 72.64 Ge.upf
Cr 52.00 Cr.upf
Co 58.93 Co.upf
Pd 106.42 Pd.upf
CELL_PARAMETERS angstrom
6.319 0.000 -0.017
0.000 2.888 0.000
-1.577 0.000 7.676
ATOMIC_POSITIONS angstrom
S -0.579 0.000 6.339
S 0.209 1.444 2.501
Ge 3.483 1.444 4.228
Ge 4.272 0.000 0.390
Cr 0.447 0.000 0.838
Cr -0.341 1.444 4.676
Co 4.770 0.000 2.792
Co 3.981 1.444 6.630
Pd 2.606 1.444 1.681
Pd 1.818 0.000 5.519
```

Summary:
calculated volume = 70.0 Å³/f.u.
DOS(E_F) = 8.158 states/eV per cell
electronic total energy = -6.364 eV/atom
SG = Cm
energy above the most stable polymorph in this dataset = 65 meV/atom
E_form (uncorrected) = -231 meV/atom

Here is a relaxed Ho6Fe2Sn crystal from Alexandria. Energies are from GGA-PBE. Values from VASP.

Quantum ESPRESSO input file:
```
&SYSTEM
  ibrav = 0, nat = 18, ntyp = 3
/
ATOMIC_SPECIES
Ho 164.93 Ho.upf
Fe 55.84 Fe.upf
Sn 118.71 Sn.upf
CELL_PARAMETERS angstrom
-7.038 -1.617 -4.242
4.405 -6.994 1.347
-1.826 3.229 7.509
ATOMIC_POSITIONS angstrom
Ho 0.984 -5.162 5.216
Ho -4.479 -1.628 2.706
Ho -3.140 -4.862 1.864
Ho -3.541 -5.837 -1.451
Ho -0.918 0.454 6.064
Ho 0.070 -2.548 7.517
Ho -2.039 -3.213 4.831
Ho -2.420 -2.170 -0.218
Ho -1.319 -0.521 2.750
Ho -5.443 -0.221 -0.603
Ho -4.528 -2.835 -2.903
Ho 0.020 -3.755 1.907
Fe -1.037 -4.714 -0.487
Fe -3.425 0.623 1.262
Fe -5.438 0.989 2.004
Fe -3.422 -0.669 5.101
Sn 1.290 -1.883 4.428
Sn 0.000 0.000 0.000
```

Summary:
calculated volume = 225.8 Å³/f.u.
DOS(E_F) = 17.372 states/eV per cell
electronic total energy = -5.616 eV/atom
SG = Immm

Here is a relaxed RbTl2InHg crystal from Alexandria. Energies are from GGA-PBE. Values from VASP.

Quantum ESPRESSO input file:
```
&SYSTEM
  ibrav = 0, nat = 5, ntyp = 4
/
ATOMIC_SPECIES
In 114.82 In.upf
Hg 200.59 Hg.upf
Tl 204.38 Tl.upf
Rb 85.47 Rb.upf
CELL_PARAMETERS angstrom
-5.924 0.153 -0.841
-0.520 -5.321 2.692
-0.635 2.558 4.933
ATOMIC_POSITIONS angstrom
In 0.000 0.000 0.000
Hg -0.317 1.279 2.466
Tl -0.260 -2.660 1.346
Tl -2.962 0.076 -0.421
Rb -3.539 -1.305 3.392
```

Summary:
calculated volume = 200.4 Å³/f.u.
DOS(E_F) = 2.889 states/eV per cell
electronic total energy = -1.684 eV/atom
SG = P4/mmm
energy above the most stable polymorph in this dataset = 165 meV/atom

Here is a relaxed ReIrOs crystal from Alexandria. Energies are from GGA-PBE. Values from VASP.

Quantum ESPRESSO input file:
```
&SYSTEM
  ibrav = 0, nat = 12, ntyp = 3
/
ATOMIC_SPECIES
Re 186.21 Re.upf
Os 190.23 Os.upf
Ir 192.22 Ir.upf
CELL_PARAMETERS angstrom
-3.352 -1.817 -0.704
1.532 -0.813 -5.198
3.441 -7.177 2.137
ATOMIC_POSITIONS angstrom
Re 0.076 -5.855 -1.264
Re 1.546 -3.951 -2.501
Re -0.371 -1.145 -0.616
Re 1.992 -8.661 -3.149
Os 2.672 -6.296 -1.812
Os 1.949 -5.980 0.814
Os -0.328 -3.826 -4.579
Os -1.051 -3.510 -1.953
Ir 0.842 -6.279 -3.820
Ir 0.417 -1.580 -3.244
Ir 0.779 -3.527 0.055
Ir 1.204 -8.226 -0.521
```

Summary:
calculated volume = 43.8 Å³/f.u.
DOS(E_F) = 11.350 states/eV per cell
electronic total energy = -10.894 eV/atom
SG = Pnma
energy above the most stable polymorph in this dataset = 0 meV/atom

Here is a relaxed AgSnBi2 crystal from Alexandria. Energies are from GGA-PBE. Values from VASP.

Quantum ESPRESSO input file:
```
&SYSTEM
  ibrav = 0, nat = 4, ntyp = 3
/
ATOMIC_SPECIES
Sn 118.71 Sn.upf
Ag 107.87 Ag.upf
Bi 208.98 Bi.upf
CELL_PARAMETERS angstrom
-0.882 -0.679 -4.543
2.435 -3.123 -2.491
-3.743 -5.837 -0.900
ATOMIC_POSITIONS angstrom
Sn -1.106 -4.815 -3.944
Ag 1.021 -2.556 -4.691
Bi -2.845 -4.869 -1.199
Bi -0.355 -2.219 -2.067
```

Summary:
calculated volume = 120.2 Å³/f.u.
DOS(E_F) = 1.665 states/eV per cell
electronic total energy = -3.531 eV/atom
SG = Cm

Here is a relaxed SiIr3Pb crystal from Alexandria. Energies are from GGA-PBE. Values from VASP.

Quantum ESPRESSO input file:
```
&SYSTEM
  ibrav = 0, nat = 5, ntyp = 3
/
ATOMIC_SPECIES
Pb 207.20 Pb.upf
Ir 192.22 Ir.upf
Si 28.09 Si.upf
CELL_PARAMETERS angstrom
4.987 0.000 0.000
0.000 4.987 0.000
0.000 0.000 4.987
ATOMIC_POSITIONS angstrom
Pb 0.000 0.000 0.000
Ir 2.494 0.000 0.000
Ir 0.000 2.494 0.000
Ir 0.000 0.000 2.494
Si 2.494 2.494 2.494
```

Summary:
calculated volume = 124.0 Å³/f.u.
DOS(E_F) = 3.325 states/eV per cell
electronic total energy = -4.760 eV/atom
SG = Pm-3m
energy above the most stable polymorph in this dataset = 1817 meV/atom
E_form (uncorrected) = 2382 meV/atom